[1]
{"formula": "SrTlCo2", "functional": "GGA-PBE", "state": "optimized geometry", "lattice": [[-2.619, -1.583, -1.170], [-0.124, -1.811, 2.728], [-4.559, 5.161, 3.219]], "species": ["Tl", "Sr", "Co", "Co"], "frac_coords": [[0.500, 0.500, 0.811], [0.000, 0.000, 0.462], [0.500, 0.500, 0.168], [0.000, 0.000, 0.060]], "e_above_lowest_polymorph_ev_per_atom": 0.166, "spacegroup": "P4mm (99)"}

=====

[2]
{"formula": "SrTlCo2", "functional": "GGA-PBE", "state": "optimized geometry", "lattice": [[4.907, 0.000, 0.000], [2.454, 4.250, 0.000], [2.454, 1.417, 4.007]], "species": ["Tl", "Co", "Co", "Sr"], "frac_coords": [[0.750, 0.750, 0.750], [0.000, 0.000, 0.000], [0.250, 0.250, 0.250], [0.500, 0.500, 0.500]], "e_above_lowest_polymorph_ev_per_atom": 0.544, "spacegroup": "F-43m (216)"}

=====

[3]
{"formula": "Sr2TlCo", "functional": "GGA-PBE", "state": "optimized geometry", "lattice": [[-1.568, 2.756, 1.978], [1.753, -1.207, 3.071], [6.925, 5.286, -1.876]], "species": ["Tl", "Co", "Sr", "Sr"], "frac_coords": [[0.000, 0.000, 0.568], [0.500, 0.500, 0.685], [0.500, 0.500, 0.322], [0.000, 0.000, 0.925]], "spacegroup": "P4mm (99)", "final_energy_ha_per_atom": -0.1104}

=====

[4]
{"formula": "SrTlCo3", "functional": "GGA-PBE", "state": "optimized geometry", "lattice": [[4.854, 0.000, 0.000], [0.000, 4.854, 0.000], [0.000, 0.000, 4.854]], "species": ["Tl", "Co", "Co", "Co", "Sr"], "frac_coords": [[0.500, 0.500, 0.500], [0.000, 0.500, 0.000], [0.000, 0.000, 0.500], [0.500, 0.000, 0.000], [0.000, 0.000, 0.000]], "e_above_lowest_polymorph_ev_per_atom": 0.865, "spacegroup": "Pm-3m (221)"}

=====

[5]
{"formula": "Sr2TlCo", "functional": "GGA-PBE", "state": "optimized geometry", "lattice": [[4.592, 0.000, 0.000], [0.000, 4.671, -0.002], [0.000, 2.339, 5.937]], "species": ["Sr", "Sr", "Co", "Tl"], "frac_coords": [[0.000, 0.980, 0.915], [0.500, 0.267, 0.340], [0.500, 0.572, 0.732], [0.000, 0.681, 0.512]], "spacegroup": "Amm2 (38)", "final_energy_ha_per_atom": -0.1148}

=====

[6]
{"formula": "SrTl2Co2", "functional": "GGA-PBE", "state": "optimized geometry", "lattice": [[4.706, 0.000, 0.000], [0.000, 4.706, 0.000], [2.353, 2.353, 5.090]], "species": ["Tl", "Tl", "Co", "Co", "Sr"], "frac_coords": [[0.250, 0.750, 0.500], [0.750, 0.250, 0.500], [0.393, 0.393, 0.213], [0.607, 0.607, 0.787], [0.000, 0.000, 0.000]], "e_above_lowest_polymorph_ev_per_atom": 0.000, "spacegroup": "I4/mmm (139)"}

=====

[7]
{"formula": "SrTlCo2", "functional": "GGA-PBE", "state": "optimized geometry", "lattice": [[0.000, 3.351, 3.351], [3.351, 0.000, 3.351], [3.351, 3.351, 0.000]], "species": ["Co", "Co", "Sr", "Tl"], "frac_coords": [[0.250, 0.250, 0.250], [0.750, 0.750, 0.750], [0.000, 0.000, 0.000], [0.500, 0.500, 0.500]], "e_above_lowest_polymorph_ev_per_atom": 0.494, "spacegroup": "Fm-3m (225)"}

=====

[8]
{"formula": "Sr2TlCo", "functional": "GGA-PBE", "state": "optimized geometry", "lattice": [[-6.618, -3.087, -7.926], [-6.246, -5.054, 7.183], [-7.790, -1.953, -0.062]], "species": ["Sr", "Sr", "Sr", "Sr", "Co", "Co", "Tl", "Tl"], "frac_coords": [[0.375, 0.544, 0.750], [0.294, 0.625, 0.250], [0.875, 0.706, 0.750], [0.456, 0.125, 0.250], [0.500, 0.500, 0.000], [0.250, 0.750, 0.500], [0.000, 0.000, 0.000], [0.750, 0.250, 0.500]], "spacegroup": "I-42d (122)", "final_energy_ha_per_atom": -0.1119}